Record 1
## Cs3TlAu3 (PBE-GGA)

Data for Cs3TlAu3 after structural relaxation.

Output
- space-group type = P2_1/m (11)
- energy of formation (eV per atom) = -0.150
- magnetic moment (Bohr magnetons per cell) = 0.00

Cell and atoms, written as CIF:
```
data_Cs3TlAu3
_symmetry_space_group_name_H-M 'P 1'
_symmetry_Int_Tables_number 1
_symmetry_space_group_name_Hall 'P 1'
_cell_length_a 7.2315
_cell_length_b 11.3893
_cell_length_c 11.3882
_cell_angle_alpha 120.47
_cell_angle_beta 90.00
_cell_angle_gamma 90.00
loop_
_atom_site_label
_atom_site_type_symbol
_atom_site_fract_x
_atom_site_fract_y
_atom_site_fract_z
Cs1 Cs 0.7500 0.8185 0.1801
Au1 Au 0.7500 0.1862 0.3722
Au2 Au 0.2500 0.3722 0.1877
Cs2 Cs 0.2500 0.1801 0.3606
Cs3 Cs 0.7500 0.8199 0.6394
Tl1 Tl 0.7500 0.3328 0.6672
Cs4 Cs 0.7500 0.3606 0.1816
Au3 Au 0.2500 0.8138 0.6278
Au4 Au 0.7500 0.6278 0.8123
Cs5 Cs 0.2500 0.6394 0.8184
Cs6 Cs 0.2500 0.1815 0.8199
Au5 Au 0.7500 0.1869 0.8146
Tl2 Tl 0.2500 0.6672 0.3328
Au6 Au 0.2500 0.8131 0.1854
```


Record 2
## Cs4TlAu5 (PBE-GGA)

Data for Cs4TlAu5 after structural relaxation.

Output
- space-group type = I4 (79)
- energy of formation (eV per atom) = -0.210
- magnetic moment (Bohr magnetons per cell) = 0.00

Cell and atoms, written as CIF:
```
data_Cs4TlAu5
_symmetry_space_group_name_H-M 'P 1'
_symmetry_Int_Tables_number 1
_symmetry_space_group_name_Hall 'P 1'
_cell_length_a 7.2685
_cell_length_b 8.4367
_cell_length_c 8.4367
_cell_angle_alpha 79.31
_cell_angle_beta 64.48
_cell_angle_gamma 64.48
loop_
_atom_site_label
_atom_site_type_symbol
_atom_site_fract_x
_atom_site_fract_y
_atom_site_fract_z
Cs1 Cs 0.2443 0.2094 0.3759
Cs2 Cs 0.4538 0.3759 0.7906
Au1 Au 0.8000 0.1640 0.3224
Cs3 Cs 0.8297 0.7906 0.6241
Cs4 Cs 0.6203 0.6241 0.2094
Au2 Au 0.2864 0.8360 0.6776
Au3 Au 0.9641 0.3224 0.8360
Au4 Au 0.1224 0.6776 0.1640
Tl1 Tl 0.8954 0.0000 0.0000
Au5 Au 0.2938 0.0000 0.0000
```


Record 3
## Cs4TlAu5 (PBE-GGA)

Data for Cs4TlAu5 after structural relaxation.

Output
- space-group type = R-3m (166)
- energy of formation (eV per atom) = -0.249
- magnetic moment (Bohr magnetons per cell) = 0.00

Cell and atoms, written as CIF:
```
data_Cs4TlAu5
_symmetry_space_group_name_H-M 'P 1'
_symmetry_Int_Tables_number 1
_symmetry_space_group_name_Hall 'P 1'
_cell_length_a 5.1314
_cell_length_b 5.1314
_cell_length_c 19.4918
_cell_angle_alpha 82.43
_cell_angle_beta 82.43
_cell_angle_gamma 60.00
loop_
_atom_site_label
_atom_site_type_symbol
_atom_site_fract_x
_atom_site_fract_y
_atom_site_fract_z
Au1 Au 0.5915 0.5915 0.2256
Cs1 Cs 0.7041 0.7041 0.8874
Cs2 Cs 0.8877 0.8877 0.3369
Au2 Au 0.0000 0.0000 0.0000
Cs3 Cs 0.1123 0.1123 0.6631
Tl1 Tl 0.5000 0.5000 0.5000
Au3 Au 0.8254 0.8254 0.5239
Au4 Au 0.4085 0.4085 0.7744
Au5 Au 0.1746 0.1746 0.4761
Cs4 Cs 0.2959 0.2959 0.1126
```


Record 4
## Cs3TlAu4 (PBE-GGA)

Data for Cs3TlAu4 after structural relaxation.

Output
- space-group type = Imm2 (44)
- energy of formation (eV per atom) = -0.229
- magnetic moment (Bohr magnetons per cell) = 0.00

Cell and atoms, written as CIF:
```
data_Cs3TlAu4
_symmetry_space_group_name_H-M 'P 1'
_symmetry_Int_Tables_number 1
_symmetry_space_group_name_Hall 'P 1'
_cell_length_a 7.2448
_cell_length_b 7.3171
_cell_length_c 7.3171
_cell_angle_alpha 65.01
_cell_angle_beta 60.33
_cell_angle_gamma 60.33
loop_
_atom_site_label
_atom_site_type_symbol
_atom_site_fract_x
_atom_site_fract_y
_atom_site_fract_z
Cs1 Cs 0.4109 0.3433 0.8348
Cs2 Cs 0.4109 0.8348 0.3433
Au1 Au 0.7727 0.5443 0.9103
Cs3 Cs 0.0520 0.9480 0.9480
Au2 Au 0.5110 0.2997 0.2997
Au3 Au 0.8897 0.2997 0.2997
Tl1 Tl 0.0291 0.4709 0.4709
Au4 Au 0.7727 0.9103 0.5443
```


Record 5
## Cs3TlAu (PBE-GGA)

Data for Cs3TlAu after structural relaxation.

Output
- space-group type = C2/m (12)
- energy of formation (eV per atom) = -0.148
- magnetic moment (Bohr magnetons per cell) = 0.00

Cell and atoms, written as CIF:
```
data_Cs3TlAu
_symmetry_space_group_name_H-M 'P 1'
_symmetry_Int_Tables_number 1
_symmetry_space_group_name_Hall 'P 1'
_cell_length_a 10.6510
_cell_length_b 10.6510
_cell_length_c 11.1160
_cell_angle_alpha 84.77
_cell_angle_beta 84.77
_cell_angle_gamma 27.34
loop_
_atom_site_label
_atom_site_type_symbol
_atom_site_fract_x
_atom_site_fract_y
_atom_site_fract_z
Tl1 Tl 0.7812 0.7812 0.0653
Cs1 Cs 0.0629 0.0629 0.6556
Cs2 Cs 0.4088 0.4088 0.9261
Tl2 Tl 0.2188 0.2188 0.9347
Cs3 Cs 0.9371 0.9371 0.3444
Au1 Au 0.5607 0.5607 0.4116
Au2 Au 0.4393 0.4393 0.5884
Cs4 Cs 0.2040 0.2040 0.3253
Cs5 Cs 0.5912 0.5912 0.0739
Cs6 Cs 0.7960 0.7960 0.6747
```


Record 6
## CsTlAu3 (PBE-GGA)

Data for CsTlAu3 after structural relaxation.

Output
- space-group type = P2_1/c (14)
- energy of formation (eV per atom) = -0.121
- magnetic moment (Bohr magnetons per cell) = 0.00

Cell and atoms, written as CIF:
```
data_CsTlAu3
_symmetry_space_group_name_H-M 'P 1'
_symmetry_Int_Tables_number 1
_symmetry_space_group_name_Hall 'P 1'
_cell_length_a 7.2917
_cell_length_b 7.6030
_cell_length_c 12.0067
_cell_angle_alpha 65.00
_cell_angle_beta 90.00
_cell_angle_gamma 90.00
loop_
_atom_site_label
_atom_site_type_symbol
_atom_site_fract_x
_atom_site_fract_y
_atom_site_fract_z
Au1 Au 0.1380 0.6321 0.7800
Au2 Au 0.3620 0.1321 0.2800
Tl1 Tl 0.5603 0.3480 0.3984
Cs1 Cs 0.0000 0.5000 0.5000
Cs2 Cs 0.5000 0.0000 0.0000
Au3 Au 0.8620 0.3679 0.2200
Au4 Au 0.6380 0.8679 0.7200
Au5 Au 0.7177 0.0040 0.2506
Cs3 Cs 0.0000 0.0000 0.5000
Au6 Au 0.4154 0.7437 0.3262
Au7 Au 0.2823 0.9960 0.7494
Au8 Au 0.0846 0.2437 0.8262
Cs4 Cs 0.5000 0.5000 0.0000
Tl2 Tl 0.9397 0.8480 0.8984
Au9 Au 0.2177 0.4960 0.2494
Au10 Au 0.7823 0.5040 0.7506
Tl3 Tl 0.4397 0.6520 0.6016
Tl4 Tl 0.0603 0.1520 0.1016
Au11 Au 0.9154 0.7563 0.1738
Au12 Au 0.5846 0.2563 0.6738
```


Record 7
## Cs2TlAu2 (PBE-GGA)

Data for Cs2TlAu2 after structural relaxation.

Output
- space-group type = P4/mbm (127)
- energy of formation (eV per atom) = -0.184
- magnetic moment (Bohr magnetons per cell) = 0.00

Cell and atoms, written as CIF:
```
data_Cs2TlAu2
_symmetry_space_group_name_H-M 'P 1'
_symmetry_Int_Tables_number 1
_symmetry_space_group_name_Hall 'P 1'
_cell_length_a 8.3288
_cell_length_b 8.3288
_cell_length_c 5.4564
_cell_angle_alpha 90.00
_cell_angle_beta 90.00
_cell_angle_gamma 90.00
loop_
_atom_site_label
_atom_site_type_symbol
_atom_site_fract_x
_atom_site_fract_y
_atom_site_fract_z
Cs1 Cs 0.6725 0.8275 0.5000
Tl1 Tl 0.0000 0.0000 0.0000
Cs2 Cs 0.3275 0.1725 0.5000
Au1 Au 0.3746 0.8746 0.0000
Au2 Au 0.6254 0.1254 0.0000
Au3 Au 0.1254 0.3746 0.0000
Cs3 Cs 0.8275 0.3275 0.5000
Cs4 Cs 0.1725 0.6725 0.5000
Tl2 Tl 0.5000 0.5000 0.0000
Au4 Au 0.8746 0.6254 0.0000
```


Record 8
## Cs3Tl5Au3 (PBE-GGA)

Data for Cs3Tl5Au3 after structural relaxation.

Output
- space-group type = P-62m (189)
- energy of formation (eV per atom) = -0.089
- magnetic moment (Bohr magnetons per cell) = 0.00

Cell and atoms, written as CIF:
```
data_Cs3Tl5Au3
_symmetry_space_group_name_H-M 'P 1'
_symmetry_Int_Tables_number 1
_symmetry_space_group_name_Hall 'P 1'
_cell_length_a 9.0664
_cell_length_b 9.0664
_cell_length_c 6.9434
_cell_angle_alpha 90.00
_cell_angle_beta 90.00
_cell_angle_gamma 120.00
loop_
_atom_site_label
_atom_site_type_symbol
_atom_site_fract_x
_atom_site_fract_y
_atom_site_fract_z
Tl1 Tl 0.3333 0.6667 0.5000
Au1 Au 0.3752 0.3752 0.5000
Tl2 Tl 0.2485 0.0000 0.5000
Cs1 Cs 0.6621 0.0000 0.0000
Au2 Au 0.0000 0.6248 0.5000
Cs2 Cs 0.0000 0.6621 0.0000
Au3 Au 0.6248 0.0000 0.5000
Tl3 Tl 0.6667 0.3333 0.5000
Tl4 Tl 0.0000 0.2485 0.5000
Tl5 Tl 0.7515 0.7515 0.5000
Cs3 Cs 0.3379 0.3379 0.0000
```


Record 9
## Cs4TlAu (PBE-GGA)

Data for Cs4TlAu after structural relaxation.

Output
- space-group type = C2/c (15)
- energy of formation (eV per atom) = -0.107
- magnetic moment (Bohr magnetons per cell) = 0.00

Cell and atoms, written as CIF:
```
data_Cs4TlAu
_symmetry_space_group_name_H-M 'P 1'
_symmetry_Int_Tables_number 1
_symmetry_space_group_name_Hall 'P 1'
_cell_length_a 8.5349
_cell_length_b 10.4084
_cell_length_c 10.5251
_cell_angle_alpha 114.07
_cell_angle_beta 107.45
_cell_angle_gamma 102.32
loop_
_atom_site_label
_atom_site_type_symbol
_atom_site_fract_x
_atom_site_fract_y
_atom_site_fract_z
Au1 Au 0.7511 0.0011 0.0022
Cs1 Cs 0.3594 0.6478 0.8746
Cs2 Cs 0.7983 0.7169 0.6614
Cs3 Cs 0.9848 0.7732 0.1254
Cs4 Cs 0.0152 0.2268 0.8746
Cs5 Cs 0.6370 0.0555 0.3386
Tl1 Tl 0.6128 0.3628 0.7256
Au2 Au 0.2489 0.9989 0.9978
Tl2 Tl 0.3872 0.6372 0.2744
Cs6 Cs 0.6406 0.3522 0.1254
Cs7 Cs 0.3630 0.9445 0.6614
Cs8 Cs 0.2017 0.2831 0.3386
```


Record 10
## Cs6TlAu3 (PBE-GGA)

Data for Cs6TlAu3 after structural relaxation.

Output
- space-group type = R3 (146)
- energy of formation (eV per atom) = -0.167
- magnetic moment (Bohr magnetons per cell) = 2.04

Cell and atoms, written as CIF:
```
data_Cs6TlAu3
_symmetry_space_group_name_H-M 'P 1'
_symmetry_Int_Tables_number 1
_symmetry_space_group_name_Hall 'P 1'
_cell_length_a 9.9931
_cell_length_b 9.9931
_cell_length_c 9.9931
_cell_angle_alpha 55.35
_cell_angle_beta 55.35
_cell_angle_gamma 55.35
loop_
_atom_site_label
_atom_site_type_symbol
_atom_site_fract_x
_atom_site_fract_y
_atom_site_fract_z
Cs1 Cs 0.5139 0.9293 0.3007
Au1 Au 0.3433 0.3433 0.3433
Cs2 Cs 0.7527 0.4234 0.0638
Au2 Au 0.6657 0.6657 0.6657
Cs3 Cs 0.9293 0.3007 0.5139
Cs4 Cs 0.4234 0.0638 0.7527
Au3 Au 0.1516 0.1516 0.1516
Cs5 Cs 0.0638 0.7527 0.4234
Tl1 Tl 0.8556 0.8556 0.8556
Cs6 Cs 0.3007 0.5139 0.9293
```